A plane-wave DFT calculation with PBE was carried out for a geometry-optimized BePtSe2 structure.

Structure (CIF):
```
data_BePtSe2
_cell_length_a 2.902
_cell_length_b 4.958
_cell_length_c 4.602
_cell_angle_alpha 90.00
_cell_angle_beta 90.00
_cell_angle_gamma 90.00
_symmetry_space_group_name_H-M 'P 1'
_symmetry_Int_Tables_number 1
loop_
_symmetry_equiv_pos_as_xyz
'x,y,z'
loop_
_atom_site_label
_atom_site_type_symbol
_atom_site_fract_x
_atom_site_fract_y
_atom_site_fract_z
Se1 Se 0.500 0.500 0.000
Se2 Se 0.000 0.000 0.000
Pt1 Pt 0.000 0.500 0.500
Be1 Be 0.500 0.000 0.500
```

Results
Raw formation energy   0.452 eV per atom